VASP calculation (GGA-PBE) on CaBeNi2 after structural relaxation.

V: 16.09 A^3/atom
D(E_F): 1.69 states/eV/cell
Spin magnetization: 0.0 Bohr magnetons per cell
DFT total energy: -4.52 eV per atom

```
data_CaBeNi2
_chemical_formula_sum 'Ca1 Be1 Ni2'
_cell_length_a 3.877
_cell_length_b 3.877
_cell_length_c 5.437
_cell_angle_alpha 68.91
_cell_angle_beta 68.91
_cell_angle_gamma 59.99
_symmetry_space_group_name_H-M 'P 1'
_symmetry_Int_Tables_number 1
_symmetry_space_group_name_Hall 'P 1'
loop_
_atom_site_label
_atom_site_fract_x
_atom_site_fract_y
_atom_site_fract_z
Ni1 0.441 0.441 0.677
Ni2 0.059 0.059 0.823
Ca1 0.250 0.250 0.250
Be1 0.750 0.750 0.750
```